a | The following is a DFT calculation (PBE) of a relaxed structure of Tb6DyTm2.

Structure (POSCAR):
```
Tb6DyTm2
1.0
-1.2427 1.7793 2.7935
1.1304 -7.0045 4.9543
6.7659 10.6819 -1.5541
Tb Tm Dy
6 2 1
Direct
0.8897 0.5546 0.2205 Tb
0.1103 0.4454 0.7795 Tb
0.7781 0.1093 0.4431 Tb
0.2219 0.8907 0.5569 Tb
0.6666 0.6675 0.6676 Tb
0.3334 0.3325 0.3324 Tb
0.5557 0.2231 0.8896 Tm
0.4443 0.7769 0.1104 Tm
0.0000 0.0000 0.0000 Dy
```

Computed properties:
Calculated volume ... 31.236 A^3/atom
Symmetry ... P-1, No. 2

---

b | The following is a DFT calculation (PBE) of a relaxed structure of Tb6DyTm2.

Structure (POSCAR):
```
Tb6DyTm2
1.0
-4.4128 4.7903 0.5454
-4.6415 -3.0468 7.7128
5.3033 6.4810 4.4929
Tb Tm Dy
12 4 2
Direct
0.7751 0.5386 0.9388 Tb
0.0033 0.2798 0.6475 Tb
0.9967 0.7202 0.3525 Tb
0.2249 0.4614 0.0612 Tb
0.2751 0.9388 0.5386 Tb
0.4967 0.3525 0.7202 Tb
0.7249 0.0612 0.4614 Tb
0.8179 0.9529 0.7777 Tb
0.3179 0.7777 0.9529 Tb
0.1821 0.0471 0.2223 Tb
0.6821 0.2223 0.0471 Tb
0.5033 0.6475 0.2798 Tb
0.8660 0.3819 0.3361 Tm
0.3660 0.3361 0.3819 Tm
0.6340 0.6639 0.6181 Tm
0.1340 0.6181 0.6639 Tm
0.7500 0.8796 0.1204 Dy
0.2500 0.1204 0.8796 Dy
```

Computed properties:
Calculated volume ... 31.624 A^3/atom
Symmetry ... C2/c, No. 15

---

Most stable of them? a.

---

a | The following is a DFT calculation (PBE) of a relaxed structure of Tb5Dy12Tm2.

Structure (POSCAR):
```
Tb5Dy12Tm2
1.0
-0.9130 -8.8162 -2.3999
7.2420 4.7098 -2.4899
3.7158 -2.3802 7.3302
Dy Tb Tm
12 5 2
Direct
0.3288 0.2973 0.2389 Dy
0.1775 0.7402 0.3270 Dy
0.0314 0.7027 0.7611 Dy
0.4373 0.2598 0.6730 Dy
0.5627 0.7402 0.3270 Dy
0.6712 0.7027 0.7611 Dy
0.8225 0.2598 0.6730 Dy
0.9686 0.2973 0.2389 Dy
0.0740 0.1479 0.8746 Dy
0.9260 0.8521 0.1254 Dy
0.4429 0.8858 0.6622 Dy
0.5571 0.1142 0.3378 Dy
0.7691 0.5382 0.4294 Tb
0.0000 0.0000 0.5000 Tb
0.7061 0.4121 0.0234 Tb
0.2309 0.4618 0.5706 Tb
0.2939 0.5879 0.9766 Tb
0.3282 0.0000 0.0000 Tm
0.6718 0.0000 0.0000 Tm
```

Computed properties:
Calculated volume ... 31.939 A^3/atom
Symmetry ... C2/m, No. 12

---

b | The following is a DFT calculation (PBE) of a relaxed structure of Tb5Dy12Tm2.

Structure (POSCAR):
```
Tb5Dy12Tm2
1.0
-2.4490 -1.6140 6.0553
9.6667 -1.1301 -1.9069
-1.5556 10.6536 2.4550
Dy Tb Tm
12 5 2
Direct
0.3495 0.2579 0.2368 Dy
0.5206 0.6542 0.3011 Dy
0.4794 0.3458 0.6989 Dy
0.1923 0.0958 0.8783 Dy
0.9063 0.3271 0.2079 Dy
0.0931 0.7344 0.2820 Dy
0.6023 0.1140 0.4049 Dy
0.0937 0.6729 0.7921 Dy
0.3977 0.8860 0.5951 Dy
0.9069 0.2656 0.7180 Dy
0.8077 0.9042 0.1217 Dy
0.6505 0.7421 0.7632 Dy
0.7898 0.5528 0.4930 Tb
0.2102 0.4472 0.5070 Tb
0.0000 0.0000 0.5000 Tb
0.7290 0.4744 0.0091 Tb
0.2710 0.5256 0.9909 Tb
0.3205 0.9207 0.0834 Tm
0.6795 0.0793 0.9166 Tm
```

Computed properties:
Calculated volume ... 31.764 A^3/atom
Symmetry ... P-1, No. 2

---

Most stable of them? b.

---

a | The following is a DFT calculation (PBE) of a relaxed structure of TbDy4Tm6.

Structure (POSCAR):
```
TbDy4Tm6
1.0
5.5678 0.0000 0.0000
-2.7839 4.7934 0.0000
0.0000 0.0000 25.3951
Tm Dy Tb
12 8 2
Direct
0.5000 0.0000 0.0000 Tm
0.8297 0.6594 0.1037 Tm
0.5000 0.0000 0.5000 Tm
0.1629 0.3257 0.3184 Tm
0.5034 0.0067 0.7500 Tm
0.8371 0.6743 0.8184 Tm
0.8297 0.6594 0.3963 Tm
0.1629 0.3257 0.1816 Tm
0.1703 0.3406 0.6037 Tm
0.8371 0.6743 0.6816 Tm
0.1703 0.3406 0.8963 Tm
0.4966 0.9933 0.2500 Tm
0.8348 0.6695 0.9580 Dy
0.4954 0.9908 0.3785 Dy
0.5046 0.0092 0.8785 Dy
0.5046 0.0092 0.6215 Dy
0.1652 0.3305 0.0420 Dy
0.4954 0.9908 0.1215 Dy
0.8348 0.6695 0.5420 Dy
0.1652 0.3305 0.4580 Dy
0.1697 0.3395 0.7500 Tb
0.8303 0.6605 0.2500 Tb
```

Computed properties:
Calculated volume ... 30.807 A^3/atom
Symmetry ... Cmcm, No. 63

---

b | The following is a DFT calculation (PBE) of a relaxed structure of TbDy4Tm6.

Structure (POSCAR):
```
TbDy4Tm6
1.0
7.5675 0.0000 0.0000
0.0000 7.5675 0.0000
-3.7838 -3.7838 6.4407
Dy Tm Tb
4 6 1
Direct
0.0928 0.7548 0.8477 Dy
0.7548 0.0928 0.8477 Dy
0.9072 0.9072 0.1523 Dy
0.2452 0.2452 0.1523 Dy
0.0711 0.0711 0.6331 Tm
0.0000 0.5000 0.0000 Tm
0.4380 0.9289 0.3669 Tm
0.9289 0.4380 0.3669 Tm
0.5620 0.5620 0.6331 Tm
0.5000 0.0000 0.0000 Tm
0.5000 0.5000 0.0000 Tb
```

Computed properties:
Calculated volume ... 33.531 A^3/atom
Symmetry ... I-42m, No. 121

---

Most stable of them? a.

---

a | The following is a DFT calculation (PBE) of a relaxed structure of TbDyTm5.

Structure (POSCAR):
```
TbDyTm5
1.0
6.0682 0.1217 2.7054
2.2810 5.6246 2.7054
1.0248 0.7053 13.4695
Tm Dy Tb
10 2 2
Direct
0.3503 0.3055 0.4999 Tm
0.3874 0.1690 0.2512 Tm
0.8310 0.6126 0.2488 Tm
0.8349 0.1651 0.2500 Tm
0.1690 0.3874 0.7512 Tm
0.6126 0.8310 0.7488 Tm
0.1651 0.8349 0.7500 Tm
0.6945 0.6497 0.0001 Tm
0.6497 0.6945 0.5001 Tm
0.3055 0.3503 0.9999 Tm
0.0000 0.0000 0.0000 Dy
0.0000 0.0000 0.5000 Dy
0.7235 0.2765 0.7500 Tb
0.2765 0.7235 0.2500 Tb
```

Computed properties:
Calculated volume ... 30.965 A^3/atom
Symmetry ... C2/c, No. 15

---

b | The following is a DFT calculation (PBE) of a relaxed structure of TbDyTm5.

Structure (POSCAR):
```
TbDyTm5
1.0
6.0759 0.0000 0.0000
0.0000 7.9375 0.0000
-3.0380 -3.9688 5.7922
Tm Dy Tb
5 1 1
Direct
0.6734 0.7427 0.4855 Tm
0.1739 0.5000 0.0000 Tm
0.1879 0.2573 0.5145 Tm
0.4327 0.8205 0.0000 Tm
0.4327 0.1795 0.0000 Tm
0.6962 0.5000 0.0000 Dy
0.9340 0.0000 0.0000 Tb
```

Computed properties:
Calculated volume ... 39.906 A^3/atom
Symmetry ... Imm2, No. 44

---

Most stable of them? a.

---

a | The following is a DFT calculation (PBE) of a relaxed structure of Tb2Dy7Tm3.

Structure (POSCAR):
```
Tb2Dy7Tm3
1.0
3.5704 0.0000 0.0000
0.0000 5.6440 0.0000
0.0000 -2.8220 18.6417
Tm Dy Tb
3 7 2
Direct
0.5000 0.5000 0.0000 Tm
0.5000 0.3150 0.6300 Tm
0.5000 0.6850 0.3700 Tm
0.5000 0.9283 0.8567 Dy
0.0000 0.2312 0.4624 Dy
0.5000 0.0717 0.1433 Dy
0.0000 0.7688 0.5376 Dy
0.0000 0.0000 0.0000 Dy
0.0000 0.5915 0.1830 Dy
0.0000 0.4085 0.8170 Dy
0.0000 0.1479 0.2958 Tb
0.0000 0.8521 0.7042 Tb
```

Computed properties:
Calculated volume ... 31.305 A^3/atom
Symmetry ... Cmmm, No. 65

---

b | The following is a DFT calculation (PBE) of a relaxed structure of Tb2Dy7Tm3.

Structure (POSCAR):
```
Tb2Dy7Tm3
1.0
3.4861 0.0000 0.0000
0.0000 6.2293 0.7478
0.0000 2.3470 17.5441
Tb Tm Dy
2 3 7
Direct
0.5000 0.3880 0.6725 Tb
0.5000 0.6120 0.3275 Tb
0.5000 0.5000 0.0000 Tm
0.0000 0.8915 0.6575 Tm
0.0000 0.1085 0.3425 Tm
0.5000 0.2420 0.5020 Dy
0.5000 0.9418 0.8313 Dy
0.0000 0.5607 0.1651 Dy
0.0000 0.0000 0.0000 Dy
0.5000 0.0582 0.1687 Dy
0.0000 0.4393 0.8349 Dy
0.5000 0.7580 0.4980 Dy
```

Computed properties:
Calculated volume ... 31.239 A^3/atom
Symmetry ... P2/m, No. 10

---

Most stable of them? b.